Crystalline LaCuGeTe2S at its relaxed geometry. Source: OQMD via LeMat-Bulk, functional PBE.

Cell lengths 7.587, 7.587, 10.845 Å; angles 90.00, 90.00, 148.53 degrees
Positions (direct):
Cu1 0.977 0.023 0.750
La1 0.500 0.500 0.500
Ge1 0.733 0.267 0.250
La2 0.500 0.500 0.000
Te1 0.159 0.841 0.422
S1 0.441 0.559 0.250
Te2 0.159 0.841 0.078
Te3 0.841 0.159 0.922
Ge2 0.267 0.733 0.750
S2 0.559 0.441 0.750
Cu2 0.023 0.977 0.250
Te4 0.841 0.159 0.578

Values from the calculation:
Symmetry: Cmcm
M_tot (μB/f.u.): 0.0
Raw total energy (Ha/atom): -0.170